(1)
A plane-wave DFT calculation with PBE was carried out for a relaxed SmTm2Mg crystal.

a b c (Å): 3.483 3.483 33.963
angles (deg): 90.00 90.00 120.00
Fractional positions:
Sm1 0.000 0.000 0.000
Sm2 0.333 0.667 0.667
Sm3 0.667 0.333 0.333
Tm1 0.000 0.000 0.419
Tm2 0.000 0.000 0.582
Tm3 0.333 0.667 0.085
Tm4 0.333 0.667 0.248
Tm5 0.667 0.333 0.752
Tm6 0.667 0.333 0.915
Mg1 0.000 0.000 0.167
Mg2 0.333 0.667 0.833
Mg3 0.667 0.333 0.500

Total magnetization, μB/f.u.: 0.0
Symmetry: R3m
E above lowest polymorph, eV per atom: 0.0784
Volume, Å³ per atom: 29.734
Formation enthalpy at 0 K, meV/atom: 52.6
Final energy, eV for the cell shown: -45.1


(2)
A plane-wave DFT calculation with PBE was carried out for a relaxed Sm3Tm3Mg crystal.

a b c (Å): 14.348 14.348 14.348
angles (deg): 24.79 24.79 24.79
Fractional positions:
Sm1 0.100 0.435 0.769
Sm2 0.231 0.900 0.565
Sm3 0.435 0.769 0.100
Sm4 0.565 0.231 0.900
Sm5 0.769 0.100 0.435
Sm6 0.900 0.565 0.231
Tm1 0.034 0.700 0.367
Tm2 0.300 0.633 0.966
Tm3 0.367 0.034 0.700
Tm4 0.633 0.966 0.300
Tm5 0.700 0.367 0.034
Tm6 0.966 0.300 0.633
Mg1 0.167 0.167 0.167
Mg2 0.833 0.833 0.833

Total magnetization, μB/f.u.: 0.0
Symmetry: R-3
E above lowest polymorph, eV per atom: 0.0727
Volume, Å³ per atom: 32.621
Formation enthalpy at 0 K, meV/atom: 85.8
Final energy, eV for the cell shown: -57.1